Entry from Alexandria: a relaxed Li2CrPbF6 crystal (PBE with a Hubbard U).

Results
final energy: -5.259 eV/atom
Fermi-level density of states: 0.000 states/eV per atom

POSCAR file:
```
Li2CrPbF6
1.0
-2.9507 3.3161 3.1905
-5.7554 -0.2268 -0.0193
-2.2586 -2.5091 4.6687
Li F Cr Pb
2 6 1 1
direct
0.5242 0.5733 0.3827
0.0871 0.0209 0.8956
0.3618 0.7437 0.6913
0.2310 0.8755 0.2049
0.9155 0.5516 0.2698
0.5428 0.2720 0.2980
0.7254 0.1250 0.8350
0.1334 0.3543 0.8049
0.3217 0.3286 0.0577
0.8187 0.8168 0.5753
```